Below is a relaxed La2SmMoO8 crystal, with properties calculated at the PBE with a Hubbard U level.

a b c (Å): 4.4230 7.1811 5.5083
angles (deg): 90.00 94.73 90.00
Closest atoms and distances in Å follow each position.
Fractional coordinates of all 12 atoms:
La: 0.0000 0.2477 0.0000  4 O 2.28-2.55
La: 0.0000 0.7523 0.0000  4 O 2.28-2.55
Sm: 0.5000 0.5000 0.5000  6 O 2.31-2.50
Mo: 0.5000 0.0000 0.5000  6 O 1.94-1.98
O: 0.0525 0.5000 0.2513  2 La 2.28, 1 Sm 2.31
O: 0.0970 0.0000 0.3303  1 Mo 1.94, 1 O 2.12
O: 0.4344 0.2048 0.7294  1 Mo 1.98
O: 0.4344 0.7952 0.7294  1 Mo 1.98
O: 0.5656 0.2048 0.2706  1 Mo 1.98
O: 0.5656 0.7952 0.2706  1 Mo 1.98
O: 0.9030 0.0000 0.6697  1 Mo 1.94, 1 O 2.12
O: 0.9475 0.5000 0.7487  2 La 2.28, 1 Sm 2.31

Output
space group = P2/m, No. 10
M_tot = 1.0 Bohr magnetons per cell
total DFT energy (no corrections) = -7.68 eV/atom